An optimized crystal structure of ErPaTiO6, computed with PBE.

Energy relative to the elements, uncorrected ... -3.373 eV/atom
Final energy ... -0.335 hartree per atom

abc: 5.4056 5.4056 9.4725
angles: 90.00 90.00 120.00
Positions (direct):
Ti1 0.6667 0.3333 0.2500
Ti2 0.3333 0.6667 0.7500
O1 0.9643 0.3173 0.1326
O2 0.6827 0.6470 0.1326
O3 0.0357 0.6827 0.8674
O4 0.9643 0.6470 0.3674
O5 0.3173 0.3530 0.8674
O6 0.6470 0.6827 0.6326
O7 0.3173 0.9643 0.6326
O8 0.3530 0.0357 0.1326
O9 0.0357 0.3530 0.6326
O10 0.6827 0.0357 0.3674
O11 0.6470 0.9643 0.8674
O12 0.3530 0.3173 0.3674
Er1 0.6667 0.3333 0.7500
Er2 0.3333 0.6667 0.2500
Pa1 0.0000 0.0000 0.0000
Pa2 0.0000 0.0000 0.5000